(1)
Material: ZnTc2W
Method: DFT, SCAN
State: single point on PBEsol structure

It has space group P4mm (No. 99), with a = 2.740 Å, b = 2.740 Å, c = 7.625 Å, α = 90.00°, β = 90.00° and γ = 90.00°. The inequivalent atoms are Zn at (0.000, 0.000, 0.000), Tc at (0.000, 0.000, 0.476), Tc at (0.500, 0.500, 0.249) and W at (0.500, 0.500, 0.742).

The formation energy comes out at 0.14 eV per atom. As for the density of states at the Fermi level: 2.6 states/eV per cell.

***

(2)
Material: Zr2TcW
Method: DFT, SCAN
State: single point on PBEsol structure

It has space group Immm (No. 71), with a = 3.234 Å, b = 4.766 Å, c = 9.043 Å, α = 90.00°, β = 90.00° and γ = 90.00°. The inequivalent atoms are Zr at (0.000, 0.000, 0.240), Tc at (0.000, 0.500, 0.500) and W at (0.000, 0.500, 0.000).

The formation energy comes out at 0.02 eV per atom. As for the density of states at the Fermi level: 7.7 states/eV per cell.

***

(3)
Material: ZrTc2W
Method: DFT, SCAN
State: single point on PBEsol structure

It has space group Pm (No. 6), with a = 2.798 Å, b = 4.472 Å, c = 5.176 Å, α = 90.00°, β = 101.15° and γ = 90.00°. The inequivalent atoms are Zr at (0.000, 0.000, 0.000), Tc at (0.495, 0.000, 0.501), Tc at (0.762, 0.500, 0.236) and W at (0.264, 0.500, 0.725).

The energy above the lowest structure with this stoichiometry is 295 meV/atom. The formation energy comes out at -0.05 eV per atom. As for the density of states at the Fermi level: 2.5 states/eV per cell.

***

(4)
Material: ZrTc2W
Method: DFT, SCAN
State: single point on PBEsol structure

It has space group P4/mmm (No. 123), with a = 4.481 Å, b = 4.481 Å, c = 3.152 Å, α = 90.00°, β = 90.00° and γ = 90.00°. The inequivalent atoms are Zr at (0.000, 0.000, 0.000), Tc at (0.000, 0.500, 0.500) and W at (0.500, 0.500, 0.000).

The energy above the lowest structure with this stoichiometry is 32 meV/atom. The formation energy comes out at -0.31 eV per atom. As for the density of states at the Fermi level: 1.1 states/eV per cell.

***

(5)
Material: ZrTc2W
Method: DFT, SCAN
State: single point on PBEsol structure

It has space group Fm-3m (No. 225), with a = 6.322 Å, b = 6.322 Å, c = 6.322 Å, α = 90.00°, β = 90.00° and γ = 90.00°. The inequivalent atoms are Zr at (0.000, 0.000, 0.000), Tc at (0.250, 0.250, 0.250) and W at (0.000, 0.000, 0.500).

The energy above the lowest structure with this stoichiometry is 0 meV/atom. The formation energy comes out at -0.34 eV per atom. As for the density of states at the Fermi level: 3.8 states/eV per cell.

***

(6)
Material: ZrTc2W
Method: DFT, SCAN
State: single point on PBEsol structure

It has space group Pmmm (No. 47), with a = 3.154 Å, b = 4.359 Å, c = 4.619 Å, α = 90.00°, β = 90.00° and γ = 90.00°. The inequivalent atoms are Zr at (0.000, 0.000, 0.000), Tc at (0.000, 0.500, 0.500), Tc at (0.500, 0.500, 0.000) and W at (0.500, 0.000, 0.500).

The energy above the lowest structure with this stoichiometry is 296 meV/atom. The formation energy comes out at -0.05 eV per atom. As for the density of states at the Fermi level: 2.8 states/eV per cell.

***

(7)
Material: YTc2
Method: DFT, SCAN
State: single point on PBEsol structure

It has space group Fd-3m (No. 227, origin choice 2), with a = 7.538 Å, b = 7.538 Å, c = 7.538 Å, α = 90.00°, β = 90.00° and γ = 90.00°. The inequivalent atoms are Y at (0.125, 0.125, 0.125) and Tc at (0.000, 0.000, 0.500).

The energy above the lowest structure with this stoichiometry is 26 meV/atom. The formation energy comes out at -0.20 eV per atom. As for the density of states at the Fermi level: 22.6 states/eV per cell.

***

(8)
Material: YTc3
Method: DFT, SCAN
State: single point on PBEsol structure

It has space group Pm-3m (No. 221), with a = 4.037 Å, b = 4.037 Å, c = 4.037 Å, α = 90.00°, β = 90.00° and γ = 90.00°. The inequivalent atoms are Y at (0.000, 0.000, 0.000) and Tc at (0.000, 0.500, 0.500).

The formation energy comes out at 0.59 eV per atom. As for the density of states at the Fermi level: 5.7 states/eV per cell.

***

(9)
Material: Y5Tc
Method: DFT, SCAN
State: single point on PBEsol structure

It has space group C2/m (No. 12), with a = 12.060 Å, b = 3.533 Å, c = 8.272 Å, α = 90.00°, β = 111.64° and γ = 90.00°. The inequivalent atoms are Y at (0.000, 0.000, 0.000), Y at (0.133, 0.500, 0.368), Y at (0.161, 0.500, 0.782) and Tc at (0.000, 0.000, 0.500).

The formation energy comes out at -0.01 eV per atom. As for the density of states at the Fermi level: 13.0 states/eV per cell.

***

(10)
Material: YTc2
Method: DFT, SCAN
State: single point on PBEsol structure

It has space group P6_3/mmc (No. 194), with a = 5.3125 Å, b = 5.3125 Å, c = 17.5104 Å, α = 90.00°, β = 90.00° and γ = 120.00°. The inequivalent atoms are Y at (0.0000, 0.0000, 0.0929), Y at (0.3333, 0.6667, 0.1562), Tc at (0.0000, 0.5000, 0.0000), Tc at (0.1608, 0.3216, 0.7500) and Tc at (0.3333, 0.6667, 0.6300).

The energy above the lowest structure with this stoichiometry is 0 meV/atom. The formation energy comes out at -0.23 eV per atom. As for the density of states at the Fermi level: 20.2 states/eV per cell.

***

(11)
Material: YTc
Method: DFT, SCAN
State: single point on PBEsol structure

It has space group Fm-3m (No. 225), with a = 5.570 Å, b = 5.570 Å, c = 5.570 Å, α = 90.00°, β = 90.00° and γ = 90.00°. The inequivalent atoms are Y at (0.000, 0.000, 0.000) and Tc at (0.000, 0.000, 0.500).

The formation energy comes out at 1.02 eV per atom. As for the density of states at the Fermi level: 10.9 states/eV per cell.

***

(12)
Material: YTc2
Method: DFT, SCAN
State: single point on PBEsol structure

It has space group P-3m1 (No. 164), with a = 4.3270 Å, b = 4.3270 Å, c = 3.3604 Å, α = 90.00°, β = 90.00° and γ = 120.00°. The inequivalent atoms are Y at (0.0000, 0.0000, 0.0000) and Tc at (0.3333, 0.6667, 0.5651).

The energy above the lowest structure with this stoichiometry is 388 meV/atom. The formation energy comes out at 0.16 eV per atom. As for the density of states at the Fermi level: 1.8 states/eV per cell.

***

What is the formula in the twelfth record?
YTc2

***

Repeat the tenth record exactly.
Material: YTc2
Method: DFT, SCAN
State: single point on PBEsol structure

It has space group P6_3/mmc (No. 194), with a = 5.3125 Å, b = 5.3125 Å, c = 17.5104 Å, α = 90.00°, β = 90.00° and γ = 120.00°. The inequivalent atoms are Y at (0.0000, 0.0000, 0.0929), Y at (0.3333, 0.6667, 0.1562), Tc at (0.0000, 0.5000, 0.0000), Tc at (0.1608, 0.3216, 0.7500) and Tc at (0.3333, 0.6667, 0.6300).

The energy above the lowest structure with this stoichiometry is 0 meV/atom. The formation energy comes out at -0.23 eV per atom. As for the density of states at the Fermi level: 20.2 states/eV per cell.